The following is a DFT calculation (GGA-PBE) of a relaxed structure of HfZn3F.

Lattice parameters (Å, degrees): 4.373 4.373 4.373 90.00 90.00 90.00
Positions (direct):
Zn: 0.000 0.500 0.000
Zn: 0.000 0.000 0.500
Zn: 0.500 0.000 0.000
Hf: 0.500 0.500 0.500
F: 0.000 0.000 0.000

## Properties
The value obtained for the total energy is -0.122 Ha/atom. As for the crystal system: cubic. For the uncorrected formation energy, the calculation gives -0.97 eV/f.u.

---

The following is a DFT calculation (GGA-PBE) of a relaxed structure of SrGd2Pd.

Lattice parameters (Å, degrees): 4.133 4.133 10.117 78.21 78.21 60.00
Each line ends with the local moment (μB).
Positions (direct):
Sr: 0.500 0.500 0.500  0.05
Gd: 0.281 0.281 0.158  7.03
Gd: 0.719 0.719 0.842  7.03
Pd: 0.000 0.000 0.000  -0.01

## Properties
Its formation energy is -0.288 eV per atom. The value obtained for the total energy is -0.332 Ha/atom. As for the crystal system: trigonal.

---

The following is a DFT calculation (GGA-PBE) of a relaxed structure of In2FeCu.

Lattice parameters (Å, degrees): 4.559 4.559 4.559 60.00 60.00 60.00
Each line ends with the local moment (μB).
Positions (direct):
Fe: 0.000 0.000 0.000  1.98
Cu: 0.500 0.500 0.500  0.02
In: 0.250 0.250 0.250  -0.05
In: 0.750 0.750 0.750  -0.05

## Properties
Its formation energy is 0.261 eV per atom. The value obtained for the total energy is -0.156 Ha/atom. As for the crystal system: cubic.

---

The following is a DFT calculation (GGA-PBE) of a relaxed structure of YSnPO2.

Lattice parameters (Å, degrees): 4.073 4.073 5.160 90.00 90.00 90.00
Positions (direct):
Y: 0.500 0.500 0.500
P: 0.000 0.000 0.500
Sn: 0.000 0.000 0.000
O: 0.000 0.500 0.000
O: 0.500 0.000 0.000

## Properties
The value obtained for the total energy is -0.235 Ha/atom. As for the crystal system: tetragonal. For the uncorrected formation energy, the calculation gives -6.21 eV/f.u.

---

The following is a DFT calculation (GGA-PBE) of a relaxed structure of CuHgHPd2.

Lattice parameters (Å, degrees): 4.087 4.087 3.963 90.00 90.00 90.00
Positions (direct):
H: 0.000 0.000 0.000
Cu: 0.000 0.000 0.500
Hg: 0.500 0.500 0.500
Pd: 0.000 0.500 0.000
Pd: 0.500 0.000 0.000

## Properties
The value obtained for the total energy is -0.138 Ha/atom. As for the crystal system: tetragonal.

---

The following is a DFT calculation (GGA-PBE) of a relaxed structure of Li2PrThSe4.

Lattice parameters (Å, degrees): 4.162 7.012 7.208 70.10 90.00 90.00
Positions (direct):
Li: 0.000 0.000 0.000
Li: 0.500 0.000 0.500
Pr: 0.500 0.500 0.000
Th: 0.000 0.500 0.500
Se: 0.000 0.766 0.739
Se: 0.000 0.234 0.261
Se: 0.500 0.767 0.250
Se: 0.500 0.233 0.750

## Properties
The value obtained for the total energy is -0.195 Ha/atom. As for the crystal system: monoclinic. For the uncorrected formation energy, the calculation gives -12.52 eV/f.u.

---

The following is a DFT calculation (GGA-PBE) of a relaxed structure of OsRu.

Lattice parameters (Å, degrees): 3.903 3.903 3.903 60.00 60.00 60.00
Positions (direct):
Os: 0.000 0.000 0.000
Ru: 0.750 0.750 0.750

## Properties
Its formation energy is 1.288 eV per atom. The value obtained for the total energy is -0.329 Ha/atom. As for the crystal system: cubic.

---

The following is a DFT calculation (GGA-PBE) of a relaxed structure of CeAl6Ni3.

Lattice parameters (Å, degrees): 4.052 7.516 10.491 80.52 90.00 90.00
Each line ends with the local moment (μB).
Positions (direct):
Ce: 0.750 0.050 0.771  0.35
Ce: 0.250 0.950 0.229  0.35
Al: 0.750 0.394 0.536  0.00
Al: 0.250 0.606 0.464  0.00
Al: 0.750 0.743 0.027  0.00
Al: 0.250 0.257 0.973  0.00
Al: 0.750 0.329 0.141  0.00
Al: 0.250 0.671 0.859  0.00
Al: 0.750 0.614 0.273  0.00
Al: 0.250 0.386 0.727  0.00
Al: 0.750 0.100 0.426  0.00
Al: 0.250 0.900 0.574  0.00
Al: 0.750 0.656 0.687  0.00
Al: 0.250 0.344 0.313  0.00
Ni: 0.750 0.453 0.891  0.00
Ni: 0.250 0.547 0.109  0.00
Ni: 0.750 0.772 0.463  0.01
Ni: 0.250 0.228 0.537  0.01
Ni: 0.750 0.080 0.032  -0.02
Ni: 0.250 0.920 0.968  -0.02

## Properties
Its formation energy is -0.466 eV per atom. The value obtained for the total energy is -0.185 Ha/atom. As for the crystal system: monoclinic.

---

The following is a DFT calculation (GGA-PBE) of a relaxed structure of Ni2MoH.

Lattice parameters (Å, degrees): 4.004 4.004 4.004 60.00 60.00 60.00
Positions (direct):
Ni: 0.250 0.250 0.250
Ni: 0.750 0.750 0.750
Mo: 0.500 0.500 0.500
H: 0.000 0.000 0.000

## Properties
The value obtained for the total energy is -0.209 Ha/atom. As for the crystal system: cubic.

---

The following is a DFT calculation (GGA-PBE) of a relaxed structure of TbPr4Ho3Se8.

Lattice parameters (Å, degrees): 8.217 8.457 8.219 119.08 119.99 90.00
Positions (direct):
Tb: 0.000 0.500 0.000
Pr: 0.500 0.000 0.000
Pr: 0.500 0.000 0.500
Pr: 0.000 0.000 0.000
Pr: 0.000 0.000 0.500
Ho: 0.500 0.500 0.000
Ho: 0.500 0.500 0.500
Ho: 0.000 0.500 0.500
Se: 0.245 0.731 0.986
Se: 0.245 0.731 0.489
Se: 0.257 0.270 0.513
Se: 0.742 0.731 0.986
Se: 0.258 0.269 0.014
Se: 0.743 0.730 0.487
Se: 0.755 0.269 0.511
Se: 0.755 0.269 0.014

## Properties
The value obtained for the total energy is -0.216 Ha/atom. As for the crystal system: trigonal. For the uncorrected formation energy, the calculation gives -28.71 eV/f.u.

---

- Number 2 is which compound?
  SrGd2Pd